VASP calculation (PBE) on a relaxed structure of LiNbRuO6.

**Total energy**: -7.289 eV/atom
**Density**: 4.7 g cm⁻³
**Energy relative to the elements, uncorrected**: -1.62 eV/atom
**DOS at the Fermi energy**: 0.3973 states/eV per atom

Lattice parameters (Å, degrees): 4.7958 4.7958 9.0277 90.00 90.00 90.00
Last column: nearest neighbours and their distance in Å.
Fractional positions:
Ru: 0.0000 0.0000 0.3305  6 O 1.91-1.94
O: 0.7858 0.2142 0.8198  1 Ru 1.94, 1 Nb 1.97
Ru: 0.5000 0.5000 0.8305  6 O 1.91-1.94
O: 0.2038 0.7962 0.1839  1 Ru 1.91, 1 Nb 2.01, 1 Li 2.14
Li: 0.0000 0.0000 0.0034  6 O 2.14-2.20
O: 0.6852 0.6852 0.9927  1 Ru 1.93, 1 Nb 2.06, 1 Li 2.14
Nb: 0.0000 0.0000 0.6731  6 O 1.97-2.06
O: 0.1852 0.8148 0.4927  1 Ru 1.93, 1 Nb 2.06, 1 Li 2.14
O: 0.2858 0.2858 0.3198  1 Ru 1.94, 1 Nb 1.97
Li: 0.5000 0.5000 0.5034  6 O 2.14-2.20
O: 0.8148 0.1852 0.4927  1 Ru 1.93, 1 Nb 2.06, 1 Li 2.14
O: 0.7038 0.7038 0.6839  1 Ru 1.91, 1 Nb 2.01, 1 Li 2.14
O: 0.2962 0.2962 0.6839  1 Ru 1.91, 1 Nb 2.01, 1 Li 2.14
O: 0.7962 0.2038 0.1839  1 Ru 1.91, 1 Nb 2.01, 1 Li 2.14
O: 0.3148 0.3148 0.9927  1 Ru 1.93, 1 Nb 2.06, 1 Li 2.14
Nb: 0.5000 0.5000 0.1731  6 O 1.97-2.06
O: 0.2142 0.7858 0.8198  1 Ru 1.94, 1 Nb 1.97
O: 0.7142 0.7142 0.3198  1 Ru 1.94, 1 Nb 1.97

=====

VASP calculation (PBE) on a relaxed structure of LiNbS2O8.

**Total energy**: -6.503 eV/atom
**Density**: 3.1 g cm⁻³
**Energy relative to the elements, uncorrected**: -1.51 eV/atom
**DOS at the Fermi energy**: 0.1733 states/eV per atom

Lattice parameters (Å, degrees): 4.9461 4.9461 7.4999 90.00 90.00 120.00
Last column: nearest neighbours and their distance in Å.
Fractional positions:
O: 0.7069 0.0701 0.3165  1 S 1.51
O: 0.0701 0.3632 0.6835  1 S 1.51
O: 0.2931 0.9299 0.6835  1 S 1.51
O: 0.6368 0.7069 0.6835  1 S 1.51
O: 0.3333 0.6667 0.9471  1 S 1.45
Li: 0.0000 0.0000 0.0000  12 O 2.88-2.89
O: 0.6667 0.3333 0.0529  1 S 1.45
Nb: 0.0000 0.0000 0.5000  6 O 2.15
S: 0.6667 0.3333 0.2465  4 O 1.45-1.51
O: 0.3632 0.2931 0.3165  1 S 1.51
S: 0.3333 0.6667 0.7535  4 O 1.45-1.51
O: 0.9299 0.6368 0.3165  1 S 1.51

=====

VASP calculation (PBE) on a relaxed structure of LiNbSb2O6.

**Total energy**: -6.848 eV/atom
**Density**: 4.8 g cm⁻³
**Energy relative to the elements, uncorrected**: -1.85 eV/atom
**DOS at the Fermi energy**: 0.0000 states/eV per atom

Lattice parameters (Å, degrees): 6.2063 5.7445 5.9614 77.01 123.72 120.32
Last column: nearest neighbours and their distance in Å.
Fractional positions:
O: 0.8802 0.6678 0.1637  1 Nb 1.99, 1 Sb 2.03, 1 Li 2.06
O: 0.9664 0.1813 0.6503  1 Nb 1.99, 1 Sb 2.03, 1 Li 2.06
O: 0.5062 0.7498 0.6642  1 Sb 2.03, 1 Li 2.06
O: 0.4133 0.1240 0.2105  1 Nb 1.88
Sb: 0.6407 0.3961 0.8445  3 O 2.03-2.16
Nb: 0.0068 0.0081 0.9906  4 O 1.88-1.99
Li: 0.0775 0.5788 0.5612  4 O 2.06
O: 0.9364 0.2281 0.1066  1 Nb 1.88
O: 0.9230 0.6817 0.7324  1 Sb 2.03, 1 Li 2.06
Sb: 0.6150 0.8620 0.3786  3 O 2.03-2.16

=====

VASP calculation (PBE) on a relaxed structure of LiNb2SbO8.

**Total energy**: -7.640 eV/atom
**Density**: 5.2 g cm⁻³
**Energy relative to the elements, uncorrected**: -2.15 eV/atom
**DOS at the Fermi energy**: 0.0000 states/eV per atom

Lattice parameters (Å, degrees): 4.7581 4.7582 6.3040 90.14 90.14 87.98
Last column: nearest neighbours and their distance in Å.
Fractional positions:
Li: 0.0000 0.0000 0.5000  6 O 2.14-2.16
O: 0.2034 0.7973 0.2319  1 Nb 1.98, 1 Sb 1.98, 1 Li 2.16
O: 0.2028 0.7967 0.7681  1 Nb 1.98, 1 Sb 1.98, 1 Li 2.16
O: 0.3001 0.3002 0.9976  2 Nb 2.03-2.25, 1 Sb 2.06
Nb: 0.5232 0.5232 0.2611  5 O 1.90-2.06
O: 0.6999 0.6998 0.0024  2 Nb 2.03-2.25, 1 Sb 2.06
O: 0.3132 0.3132 0.4948  2 Nb 1.90-2.06
Sb: 0.0000 0.0000 0.0000  6 O 1.98-2.06
O: 0.7966 0.2027 0.7681  1 Nb 1.98, 1 Sb 1.98, 1 Li 2.16
O: 0.6868 0.6868 0.5052  2 Nb 1.90-2.06
Nb: 0.4768 0.4768 0.7389  5 O 1.90-2.06
O: 0.7972 0.2033 0.2319  1 Nb 1.98, 1 Sb 1.98, 1 Li 2.16

=====

VASP calculation (PBE) on a relaxed structure of LiScNbO4.

**Total energy**: -8.085 eV/atom
**Density**: 4.1 g cm⁻³
**Energy relative to the elements, uncorrected**: -2.63 eV/atom
**DOS at the Fermi energy**: 0.1491 states/eV per atom

Lattice parameters (Å, degrees): 5.8286 6.2329 6.5159 121.51 90.00 117.88
Last column: nearest neighbours and their distance in Å.
Fractional positions:
O: 0.3250 0.1146 0.8073  1 Nb 2.08, 2 Sc 2.18
O: 0.7896 0.1146 0.8073  1 Nb 2.08, 2 Sc 2.18
O: 0.7307 0.4615 0.2681  1 Nb 1.94, 2 Li 2.02, 1 Sc 2.06
Nb: 0.7881 0.5762 0.0381  4 O 1.94-2.08
O: 0.7307 0.4615 0.6934  1 Nb 1.94, 2 Li 2.02, 1 Sc 2.06
O: 0.2693 0.5385 0.7319  1 Nb 1.94, 2 Li 2.02, 1 Sc 2.06
Nb: 0.2119 0.4238 0.9619  4 O 1.94-2.08
Sc: 0.5000 0.0000 0.5000  6 O 2.06-2.18
Sc: 0.5000 0.0000 0.0000  6 O 2.06-2.18
O: 0.2104 0.8854 0.1927  1 Nb 2.08, 2 Sc 2.18
Li: 0.0000 0.5000 0.5000  4 O 2.02
Li: 0.5000 0.5000 0.5000  4 O 2.02
O: 0.2693 0.5385 0.3066  1 Nb 1.94, 2 Li 2.02, 1 Sc 2.06
O: 0.6750 0.8854 0.1927  1 Nb 2.08, 2 Sc 2.18

=====

VASP calculation (PBE) on a relaxed structure of LiNbSiO5.

**Total energy**: -7.868 eV/atom
**Density**: 3.4 g cm⁻³
**Energy relative to the elements, uncorrected**: -2.59 eV/atom
**DOS at the Fermi energy**: 0.0000 states/eV per atom

Lattice parameters (Å, degrees): 5.5193 5.5193 7.5385 109.36 109.36 93.98
Last column: nearest neighbours and their distance in Å.
Fractional positions:
O: 0.0757 0.9243 0.2500  1 Li 1.95, 2 Nb 1.98
O: 0.7772 0.2536 0.0806  1 Si 1.64
Si: 0.6434 0.3566 0.2500  4 O 1.64
Si: 0.3566 0.6434 0.7500  4 O 1.64
O: 0.7064 0.6783 0.3545  1 Si 1.64
Nb: 0.0000 0.0000 0.0000  6 O 1.98-2.03
Li: 0.6825 0.3175 0.7500  3 O 1.95-2.03
Li: 0.3175 0.6825 0.2500  3 O 1.95-2.03
O: 0.7464 0.2228 0.4194  1 Si 1.64
O: 0.6783 0.7064 0.8545  1 Si 1.64
Nb: 0.0000 0.0000 0.5000  6 O 1.98-2.03
O: 0.2228 0.7464 0.9194  1 Si 1.64
O: 0.9243 0.0757 0.7500  1 Li 1.95, 2 Nb 1.98
O: 0.2536 0.7772 0.5806  1 Si 1.64
O: 0.3217 0.2936 0.1455  1 Si 1.64
O: 0.2936 0.3217 0.6455  1 Si 1.64

=====

VASP calculation (PBE) on a relaxed structure of Li3Nb4SnO12.

**Total energy**: -7.769 eV/atom
**Density**: 4.8 g cm⁻³
**Energy relative to the elements, uncorrected**: -2.29 eV/atom
**DOS at the Fermi energy**: 0.2169 states/eV per atom

Lattice parameters (Å, degrees): 5.4596 5.6581 7.8440 92.79 90.06 90.02
Last column: nearest neighbours and their distance in Å.
Fractional positions:
O: 0.1007 0.0276 0.7410  2 Nb 1.92-2.10
O: 0.5609 0.5289 0.2354  2 Nb 1.98-2.14
O: 0.7966 0.3304 0.5413  2 Nb 1.97-2.07
Nb: 0.5035 0.5248 0.5050  6 O 1.95-2.14
O: 0.3050 0.8189 0.0337  1 Nb 1.94
O: 0.1967 0.3069 0.0168  2 Nb 2.02-2.09, 1 Li 2.19
Nb: 0.5091 0.4914 0.9851  5 O 1.93-2.06
Li: 0.5002 0.9267 0.2719  5 O 2.21-2.45
Li: 0.0115 0.4307 0.7907  6 O 2.17-2.42
O: 0.7119 0.8235 0.5328  2 Nb 1.96-2.04
Sn: 0.0184 0.4800 0.2592  4 O 2.31-2.52
O: 0.2303 0.7617 0.4410  2 Nb 1.99-2.08, 1 Li 2.22
O: 0.2788 0.2535 0.4357  2 Nb 2.02-2.09
O: 0.8962 0.0308 0.2358  2 Nb 1.97-2.20
Nb: 0.0024 0.9877 0.9962  6 O 1.94-2.16
O: 0.8061 0.7012 0.9352  2 Nb 1.98-2.06, 1 Li 2.17
Li: 0.4818 0.9381 0.7952  4 O 2.17-2.30
O: 0.3916 0.5448 0.7412  2 Nb 1.95-2.05
O: 0.6977 0.2090 0.9302  2 Nb 1.93-2.16
Nb: 0.0008 0.0242 0.5062  5 O 1.92-2.09

=====

VASP calculation (PBE) on a relaxed structure of Li2NbSn2O6.

**Total energy**: -6.341 eV/atom
**Density**: 4.7 g cm⁻³
**Energy relative to the elements, uncorrected**: -1.65 eV/atom
**DOS at the Fermi energy**: 0.2973 states/eV per atom

Lattice parameters (Å, degrees): 5.9207 5.9207 6.2015 61.49 61.49 60.00
Last column: nearest neighbours and their distance in Å.
Fractional positions:
Li: 0.5877 0.5877 0.2370  3 O 1.88
Sn: 0.8128 0.8128 0.5617  3 O 2.20
O: 0.2357 0.7862 0.7423  1 Li 1.88, 1 Nb 2.03
Li: 0.4123 0.4123 0.7630  3 O 1.88
O: 0.7643 0.2138 0.2577  1 Li 1.88, 1 Nb 2.03
Nb: 0.0000 0.0000 0.0000  6 O 2.03
O: 0.7862 0.2357 0.7423  1 Li 1.88, 1 Nb 2.03
Sn: 0.1872 0.1872 0.4383  3 O 2.20
O: 0.2357 0.2357 0.7423  1 Li 1.88, 1 Nb 2.03
O: 0.2138 0.7643 0.2577  1 Li 1.88, 1 Nb 2.03
O: 0.7643 0.7643 0.2577  1 Li 1.88, 1 Nb 2.03

=====

The lowest density belongs to which entry? LiNbS2O8